[1]
The following is a DFT calculation (GGA-PBE) of crystalline Sm2AgSb at its relaxed geometry.

Summary:
- crystal system = tetragonal
- V (Å³/cell) = 107
- formation energy (no corrections) (kJ/mol of formula units) = -242
- total magnetization (μB per formula unit) = 0.000

Cell lengths 5.150, 5.150, 4.041 Å; angles 90.00, 90.00, 90.00 degrees
Fractional coordinates of all 4 atoms:
Sm: 0.000 0.500 0.000
Sm: 0.500 0.000 0.000
Ag: 0.000 0.000 0.500
Sb: 0.500 0.500 0.500



[2]
The following is a DFT calculation (GGA-PBE) of crystalline B5C7 at its relaxed geometry.

Summary:
- crystal system = triclinic
- energy above the lowest structure with this stoichiometry (eV per atom) = 0.110
- V (Å³/cell) = 79
- formation enthalpy at 0 K (eV per atom) = 0.368
- total magnetization (μB per formula unit) = 0.000

Cell lengths 4.412, 4.586, 4.668 Å; angles 61.93, 72.61, 77.10 degrees
Fractional coordinates of all 12 atoms:
B: 0.000 0.000 0.000
B: 0.016 0.612 0.805
B: 0.134 0.593 0.280
B: 0.565 0.271 0.870
B: 0.643 0.871 0.241
C: 0.016 0.244 0.392
C: 0.163 0.954 0.652
C: 0.174 0.261 0.025
C: 0.509 0.575 0.236
C: 0.521 0.922 0.580
C: 0.649 0.612 0.850
C: 0.651 0.258 0.500